Density functional theory data (GGA-PBEsol) for a relaxed structure of In2PF.

Computed properties:
Magnetic moment (Bohr magnetons per cell): 0.00
Fermi-level density of states (states/eV/cell): 0.79
ρ (g/cm³): 6.53
E_tot (eV/atom): -4.11

POSCAR file:
```
In2PF
1.0
4.650 0.000 0.000
2.325 4.027 0.000
2.325 1.342 3.797
P F In
1 1 2
direct
0.500 0.500 0.500 P
0.000 0.000 0.000 F
0.750 0.750 0.750 In
0.250 0.250 0.250 In
```

---

Density functional theory data (GGA-PBEsol) for a relaxed structure of In3PF.

Computed properties:
Magnetic moment (Bohr magnetons per cell): 0.00
Fermi-level density of states (states/eV/cell): 2.89
ρ (g/cm³): 5.76
E_tot (eV/atom): -3.55

POSCAR file:
```
In3PF
1.0
-3.638 -0.657 3.131
3.177 -1.296 3.420
0.374 4.622 1.404
In P F
3 1 1
direct
0.000 0.500 0.000 In
0.000 0.000 0.500 In
0.500 0.000 0.000 In
0.500 0.500 0.500 P
0.000 0.000 0.000 F
```

---

Density functional theory data (GGA-PBEsol) for a relaxed structure of InPS2F.

Computed properties:
Magnetic moment (Bohr magnetons per cell): 0.00
Fermi-level density of states (states/eV/cell): 1.80
Energy above the lowest structure with this stoichiometry (eV/atom): 0.000
ρ (g/cm³): 4.21

POSCAR file:
```
InPS2F
1.0
3.639 0.000 0.000
0.000 4.981 0.000
0.000 0.000 4.981
F S P In
1 2 1 1
direct
0.000 0.000 0.000 F
0.000 0.000 0.500 S
0.000 0.500 0.000 S
0.500 0.000 0.000 P
0.500 0.500 0.500 In
```

---

Density functional theory data (GGA-PBEsol) for a relaxed structure of InPS2F.

Computed properties:
Magnetic moment (Bohr magnetons per cell): 0.04
Fermi-level density of states (states/eV/cell): 6.26
Energy above the lowest structure with this stoichiometry (eV/atom): 0.498
ρ (g/cm³): 3.10

POSCAR file:
```
InPS2F
1.0
4.874 0.000 0.000
0.000 4.874 0.000
0.000 0.000 5.159
In P F S
1 1 1 2
direct
0.000 0.000 0.000 In
0.000 0.000 0.500 P
0.500 0.500 0.500 F
0.500 0.000 0.000 S
0.000 0.500 0.000 S
```

---

Question: Number 1 is which compound?
Answer: In2PF